Entry 1:
Density functional theory data (PBE) for a geometry-optimized TaV6Co4 structure.

## Properties
ΔH_f (0 K) ... 0.217 eV/atom
Magnetic moment ... 0.0 μB per cell
Total DFT energy (no corrections) ... -8.42 eV/atom

Cell lengths 5.789, 5.789, 9.134 Å; angles 90.00, 90.00, 90.00 degrees
Space group I-42m (No. 121)
Asymmetric unit:
Ta: 0.000 0.000 0.000 (multiplicity 2)
V: 0.000 0.500 0.000 (multiplicity 4)
V: 0.197 0.197 0.276 (multiplicity 8)
Co: 0.159 0.159 0.575 (multiplicity 8)



Entry 2:
Density functional theory data (PBE) for a geometry-optimized TaV2Co structure.

## Properties
ΔH_f (0 K) ... -0.002 eV/atom
Magnetic moment ... 0.6 μB per cell
Total DFT energy (no corrections) ... -9.30 eV/atom

Cell lengths 3.054, 3.054, 6.007 Å; angles 90.00, 90.00, 90.00 degrees
Space group P4/mmm (No. 123)
Asymmetric unit:
Ta: 0.000 0.000 0.000 (multiplicity 1)
V: 0.500 0.500 0.267 (multiplicity 2)
Co: 0.000 0.000 0.500 (multiplicity 1)



Entry 3:
Density functional theory data (PBE) for a geometry-optimized TaVCo3 structure.

## Properties
ΔH_f (0 K) ... 0.250 eV/atom
Magnetic moment ... 0.0 μB per cell
Total DFT energy (no corrections) ... -8.21 eV/atom

Cell lengths 5.787, 8.954, 5.147 Å; angles 90.00, 90.00, 90.00 degrees
Space group Cmcm (No. 63)
Asymmetric unit:
Ta: 0.000 0.194 0.250 (multiplicity 4)
V: 0.000 0.500 0.000 (multiplicity 4)
Co: 0.000 0.292 0.750 (multiplicity 4)
Co: 0.197 0.069 0.750 (multiplicity 8)



Entry 4:
Density functional theory data (PBE) for a geometry-optimized TaVCo2 structure.

## Properties
ΔH_f (0 K) ... -0.090 eV/atom
Magnetic moment ... 14.8 μB per cell
Total DFT energy (no corrections) ... -8.89 eV/atom

Cell lengths 5.991, 5.991, 5.991 Å; angles 90.00, 90.00, 90.00 degrees
Space group Fm-3m (No. 225)
Asymmetric unit:
Ta: 0.000 0.000 0.000 (multiplicity 4)
V: 0.000 0.000 0.500 (multiplicity 4)
Co: 0.250 0.250 0.250 (multiplicity 8)